Computed, not measured: an optimized crystal structure of RbDy2H at the PBE level of DFT.

```
RbDy2H
1.0
-0.925 3.135 -1.627
-3.480 1.105 0.013
0.163 6.449 8.240
H Rb Dy
1 1 2
Direct
0.500 0.500 0.500
0.000 0.000 0.000
0.124 0.124 0.627
0.876 0.876 0.373
```

=====

Computed, not measured: an optimized crystal structure of DyHRh3 at the PBE level of DFT.

```
DyHRh3
1.0
-1.002 -2.295 3.223
1.939 -3.183 -1.664
3.449 1.123 1.872
H Rh Dy
1 3 1
Direct
0.000 0.000 0.000
0.000 0.500 0.000
0.000 0.000 0.500
0.500 0.000 0.000
0.500 0.500 0.500
```

=====

Computed, not measured: an optimized crystal structure of DyH4Rh at the PBE level of DFT.

```
DyH4Rh
1.0
-4.104 0.604 0.636
-1.920 -3.294 1.757
-0.749 0.653 3.729
Dy H Rh
1 4 1
Direct
0.501 0.497 0.998
0.442 0.908 0.311
0.560 0.086 0.685
0.090 0.556 0.685
0.913 0.438 0.311
0.001 0.997 0.498
```

=====

Computed, not measured: an optimized crystal structure of Dy3HRh8 at the PBE level of DFT.

```
Dy3HRh8
1.0
5.087 0.000 1.509
2.320 4.527 1.509
0.052 0.032 9.155
Dy H Rh
3 1 8
Direct
0.618 0.618 0.145
0.008 0.008 0.975
0.487 0.487 0.540
0.186 0.186 0.443
0.557 0.055 0.832
0.054 0.562 0.329
0.557 0.557 0.832
0.054 0.054 0.329
0.805 0.805 0.584
0.306 0.306 0.081
0.055 0.557 0.832
0.562 0.054 0.329
```

=====

Computed, not measured: an optimized crystal structure of Dy6HRh2 at the PBE level of DFT.

```
Dy6HRh2
1.0
-2.298 -3.080 4.980
0.437 -6.133 -3.591
8.897 -1.208 3.145
Dy H Rh
12 2 4
Direct
0.140 0.035 0.251
0.171 0.324 0.563
0.168 0.325 0.936
0.332 0.825 0.564
0.329 0.824 0.937
0.360 0.535 0.249
0.860 0.965 0.749
0.829 0.676 0.437
0.832 0.675 0.064
0.668 0.175 0.436
0.671 0.176 0.063
0.640 0.465 0.751
0.500 0.500 0.000
0.000 0.000 0.500
0.062 0.619 0.742
0.438 0.119 0.758
0.562 0.881 0.242
0.938 0.381 0.258
```

=====

Computed, not measured: an optimized crystal structure of DyH12Rh7 at the PBE level of DFT.

```
DyH12Rh7
1.0
9.150 0.000 2.926
-3.738 3.914 1.177
1.673 0.000 5.280
Dy H Rh
1 12 7
Direct
0.000 0.000 0.000
0.843 0.459 0.219
0.938 0.781 0.678
0.551 0.363 0.866
0.583 0.134 0.229
0.616 0.678 0.541
0.812 0.229 0.637
0.188 0.771 0.363
0.384 0.322 0.459
0.417 0.866 0.771
0.449 0.637 0.134
0.062 0.219 0.322
0.157 0.541 0.781
0.928 0.458 0.825
0.247 0.175 0.283
0.530 0.283 0.542
0.500 0.000 0.000
0.470 0.717 0.458
0.753 0.825 0.717
0.072 0.542 0.175
```

=====

Computed, not measured: an optimized crystal structure of Dy2HRh6 at the PBE level of DFT.

```
Dy2HRh6
1.0
-2.662 -3.239 3.959
4.896 -0.320 3.030
-2.072 6.652 4.051
Dy H Rh
4 2 12
Direct
0.000 0.500 0.750
0.500 0.000 0.750
0.500 0.000 0.250
0.000 0.500 0.250
0.500 0.500 0.000
0.000 0.000 0.500
0.000 0.000 0.247
0.748 0.748 0.500
0.752 0.752 0.000
0.748 0.252 0.500
0.752 0.248 0.000
0.500 0.500 0.253
0.000 0.000 0.753
0.252 0.252 0.500
0.248 0.248 0.000
0.252 0.748 0.500
0.248 0.752 0.000
0.500 0.500 0.747
```

=====

Computed, not measured: an optimized crystal structure of DyH6Rh3 at the PBE level of DFT.

```
DyH6Rh3
1.0
-2.912 -1.210 3.706
-1.341 -1.284 -4.582
4.427 -2.197 -0.363
Dy H Rh
1 6 3
Direct
0.792 0.901 0.699
0.445 0.434 0.814
0.140 0.762 0.180
0.797 0.031 0.216
0.285 0.900 0.699
0.797 0.373 0.593
0.377 0.400 0.199
0.781 0.399 0.201
0.294 0.652 0.949
0.293 0.149 0.448
```

=====

Total DFT energy (no corrections), record by record: -3.2731 -6.5185 -4.6856 -6.8216 -5.6285 -4.9015 -6.8134 -5.0199 eV/atom